1.
DFT (PBE-GGA) results for PmTlI2O8 after structural relaxation. Values from VASP.

```
&SYSTEM
  ibrav = 0, nat = 12, ntyp = 4
/
ATOMIC_SPECIES
O 16.00 O.upf
I 126.90 I.upf
Tl 204.38 Tl.upf
Pm 145.00 Pm.upf
CELL_PARAMETERS angstrom
6.056 0.000 0.000
3.028 5.245 0.000
3.028 1.748 7.518
ATOMIC_POSITIONS crystal
O 0.978 0.601 0.174
I 0.262 0.262 0.214
O 0.183 0.183 0.452
O 0.399 0.753 0.826
I 0.738 0.738 0.786
O 0.817 0.817 0.548
Tl 0.500 0.500 0.500
O 0.247 0.978 0.174
O 0.753 0.022 0.826
O 0.022 0.399 0.826
Pm 0.000 0.000 0.000
O 0.601 0.247 0.174
```

The calculation puts the volume at 19.90 Å³ per atom. The total energy comes out at -5.003 eV per atom. As for the uncorrected formation energy: -10.15 eV per formula unit. Its space-group type is No. 148.



2.
DFT (PBE-GGA) results for AlNiRh2 after structural relaxation. Values from VASP.

```
&SYSTEM
  ibrav = 0, nat = 4, ntyp = 3
/
ATOMIC_SPECIES
Rh 102.91 Rh.upf
Al 26.98 Al.upf
Ni 58.69 Ni.upf
CELL_PARAMETERS angstrom
4.673 0.006 0.038
3.837 2.666 0.038
1.039 0.326 4.271
ATOMIC_POSITIONS crystal
Rh 0.244 0.244 0.269
Al 0.495 0.495 0.491
Rh 0.005 0.005 0.976
Ni 0.757 0.757 0.763
```

The calculation puts the volume at 13.25 Å³ per atom. The total energy comes out at -6.493 eV per atom. The energy relative to the elements comes out at -436.1 meV/atom. Its space-group type is No. 8.



3.
DFT (PBE-GGA) results for ScTl2Br after structural relaxation. Values from VASP.

```
&SYSTEM
  ibrav = 0, nat = 4, ntyp = 3
/
ATOMIC_SPECIES
Tl 204.38 Tl.upf
Br 79.90 Br.upf
Sc 44.96 Sc.upf
CELL_PARAMETERS angstrom
6.357 -0.004 0.000
3.352 5.401 0.000
-4.854 -2.699 3.092
ATOMIC_POSITIONS crystal
Tl 0.500 0.500 0.000
Br 0.250 0.750 0.500
Sc 0.750 0.250 0.500
Tl 0.000 0.000 0.000
```

The calculation puts the volume at 26.55 Å³ per atom. The total energy comes out at -3.346 eV per atom. As for the uncorrected formation energy: -0.65 eV per formula unit. The distance to the lowest polymorph of the same formula comes out at 398 meV/atom. Its space-group type is No. 139.



4.
DFT (PBE-GGA) results for NaCu3Sb3 after structural relaxation. Values from VASP.

```
&SYSTEM
  ibrav = 0, nat = 14, ntyp = 3
/
ATOMIC_SPECIES
Sb 121.76 Sb.upf
Cu 63.55 Cu.upf
Na 22.99 Na.upf
CELL_PARAMETERS angstrom
-5.168 -1.678 -4.740
1.803 -6.964 0.499
-4.694 -0.828 5.410
ATOMIC_POSITIONS crystal
Sb 0.500 0.000 0.250
Cu 0.000 0.500 0.250
Cu 0.500 0.250 0.000
Na 0.000 0.000 0.000
Sb 0.500 0.000 0.750
Cu 0.500 0.750 0.000
Sb 0.000 0.250 0.500
Cu 0.000 0.500 0.750
Na 0.500 0.500 0.500
Cu 0.250 0.000 0.500
Sb 0.750 0.500 0.000
Sb 0.250 0.500 0.000
Cu 0.750 0.000 0.500
Sb 0.000 0.750 0.500
```

The calculation puts the volume at 26.78 Å³ per atom. The total energy comes out at -3.577 eV per atom. As for the uncorrected formation energy: 0.94 eV per formula unit. The distance to the lowest polymorph of the same formula comes out at 161 meV/atom. Its space-group type is No. 223.



5.
DFT (PBE-GGA) results for ErAs2Au after structural relaxation. Values from VASP.

```
&SYSTEM
  ibrav = 0, nat = 4, ntyp = 3
/
ATOMIC_SPECIES
Er 167.26 Er.upf
Au 196.97 Au.upf
As 74.92 As.upf
CELL_PARAMETERS angstrom
-4.813 -1.039 -1.262
-1.022 -2.406 -4.359
-1.590 -5.819 0.621
ATOMIC_POSITIONS crystal
Er 0.500 0.500 0.500
Au 0.000 0.000 0.000
As 0.154 0.154 0.537
As 0.846 0.846 0.463
```

The calculation puts the volume at 29.68 Å³ per atom. The total energy comes out at -4.474 eV per atom. The energy relative to the elements comes out at -188.7 meV/atom. Its space-group type is No. 166.



6.
DFT (PBE-GGA) results for Sr2Be3SiPt4 after structural relaxation. Values from VASP.

```
&SYSTEM
  ibrav = 0, nat = 10, ntyp = 4
/
ATOMIC_SPECIES
Be 9.01 Be.upf
Sr 87.62 Sr.upf
Pt 195.08 Pt.upf
Si 28.09 Si.upf
CELL_PARAMETERS angstrom
4.148 0.000 0.000
0.000 4.148 0.000
0.000 0.000 10.011
ATOMIC_POSITIONS crystal
Be 0.500 0.000 0.886
Sr 0.000 0.500 0.754
Pt 0.500 0.000 0.624
Pt 0.000 0.500 0.376
Be 0.000 0.500 0.114
Pt 0.000 0.000 0.000
Be 0.000 0.000 0.500
Si 0.500 0.500 0.500
Pt 0.500 0.500 0.000
Sr 0.500 0.000 0.246
```

The calculation puts the volume at 17.23 Å³ per atom. The total energy comes out at -5.162 eV per atom. As for the uncorrected formation energy: -7.49 eV per formula unit. Its space-group type is No. 115.



7.
DFT (PBE-GGA) results for BW2Au after structural relaxation. Values from VASP.

```
&SYSTEM
  ibrav = 0, nat = 8, ntyp = 3
/
ATOMIC_SPECIES
B 10.81 B.upf
W 183.84 W.upf
Au 196.97 Au.upf
CELL_PARAMETERS angstrom
4.690 0.000 0.000
0.000 4.690 0.000
2.345 2.345 6.644
ATOMIC_POSITIONS crystal
B 0.500 0.500 0.000
B 0.250 0.750 0.500
W 0.237 0.625 0.250
W 0.513 0.125 0.250
Au 0.000 0.000 0.000
Au 0.750 0.250 0.500
W 0.375 0.487 0.750
W 0.875 0.763 0.750
```

The calculation puts the volume at 18.27 Å³ per atom. The total energy comes out at -7.807 eV per atom. The energy relative to the elements comes out at 1158.8 meV/atom. Its space-group type is No. 122.



8.
DFT (PBE-GGA) results for LiBi2As2Pb2O10 after structural relaxation. Values from VASP.

```
&SYSTEM
  ibrav = 0, nat = 17, ntyp = 5
/
ATOMIC_SPECIES
O 16.00 O.upf
Bi 208.98 Bi.upf
Pb 207.20 Pb.upf
As 74.92 As.upf
Li 6.94 Li.upf
CELL_PARAMETERS angstrom
5.888 -0.083 0.184
-0.822 7.338 0.119
-2.496 -2.952 6.502
ATOMIC_POSITIONS crystal
O 0.506 0.434 0.199
Bi 0.828 0.701 0.891
O 0.674 0.325 0.780
Bi 0.044 0.244 0.041
O 0.841 0.704 0.581
Pb 0.311 0.900 0.726
O 0.412 0.595 0.768
O 0.482 0.838 0.344
As 0.669 0.677 0.338
Pb 0.628 0.154 0.300
O 0.257 0.218 0.414
Li 0.186 0.927 0.305
As 0.365 0.329 0.680
O 0.880 0.741 0.234
O 0.229 0.000 0.028
O 0.148 0.225 0.763
O 0.724 0.988 0.970
```

The calculation puts the volume at 16.85 Å³ per atom. The total energy comes out at -5.719 eV per atom. As for the uncorrected formation energy: -21.25 eV per formula unit. The distance to the lowest polymorph of the same formula comes out at 19 meV/atom. Its space-group type is No. 1.